[1]
Material: RbNa2Cd2Sb2
Method: DFT, GGA-PBE
State: relaxed

## Properties
The density of states at the Fermi level comes out at 0.31 states/eV per atom. As for the total magnetization: 0.00 μB per formula unit. The calculation puts the uncorrected formation energy at -331 meV per atom. For the total energy, the calculation gives -2.29 eV/atom. As for the space-group type: R-3m. Its crystal system is trigonal.

```
7
Lattice="2.502 1.444 10.094 -2.502 1.444 10.094 0.000 -2.889 10.094" Properties=species:S:1:pos:R:3 pbc="T T T"
Rb 0.000 0.000 0.000
Na 0.000 0.000 4.310
Na 0.000 0.000 25.971
Cd 0.000 0.000 13.465
Cd 0.000 0.000 16.816
Sb 0.000 0.000 7.534
Sb 0.000 0.000 22.747
```

[2]
Material: Rb2NaCdSb2
Method: DFT, GGA-PBE
State: relaxed

## Properties
The density of states at the Fermi level comes out at 0.96 states/eV per atom. As for the total magnetization: 0.00 μB per formula unit. The calculation puts the uncorrected formation energy at -372 meV per atom. For the total energy, the calculation gives -2.44 eV/atom. As for the space-group type: Ibam. Its crystal system is orthorhombic.

```
12
Lattice="-3.652 8.469 3.631 3.652 -8.469 3.631 3.652 8.469 -3.631" Properties=species:S:1:pos:R:3 pbc="T T T"
Rb 1.765 2.883 0.000
Rb 1.765 -2.883 3.631
Rb 1.886 11.352 0.000
Rb 1.886 5.587 3.631
Na 0.000 0.000 1.816
Na 0.000 0.000 5.447
Cd 3.652 0.000 1.816
Cd 0.000 8.469 1.816
Sb 5.288 1.686 0.000
Sb 1.636 6.783 0.000
Sb 2.016 1.686 3.631
Sb -1.636 6.783 3.631
```

[3]
Material: RbNaCdSb
Method: DFT, GGA-PBE
State: relaxed

## Properties
The density of states at the Fermi level comes out at 0.74 states/eV per atom. As for the total magnetization: 0.00 μB per formula unit. The calculation puts the uncorrected formation energy at -166 meV per atom. For the total energy, the calculation gives -2.00 eV/atom. As for the space-group type: F-43m. Its crystal system is cubic.

```
16
Lattice="7.955 0.000 0.000 0.000 7.955 0.000 0.000 0.000 7.955" Properties=species:S:1:pos:R:3 pbc="T T T"
Rb 0.000 0.000 0.000
Rb 0.000 3.977 3.977
Rb 3.977 0.000 3.977
Rb 3.977 3.977 0.000
Na 1.989 1.989 1.989
Na 1.989 5.966 5.966
Na 5.966 1.989 5.966
Na 5.966 5.966 1.989
Cd 1.989 1.989 5.966
Cd 1.989 5.966 1.989
Cd 5.966 1.989 1.989
Cd 5.966 5.966 5.966
Sb 0.000 0.000 3.977
Sb 0.000 3.977 0.000
Sb 3.977 0.000 0.000
Sb 3.977 3.977 3.977
```

[4]
Material: Rb2NaCdSe
Method: DFT, GGA-PBE
State: relaxed

## Properties
The density of states at the Fermi level comes out at 0.64 states/eV per atom. As for the total magnetization: 0.18 μB per formula unit. The calculation puts the uncorrected formation energy at -491 meV per atom. For the total energy, the calculation gives -2.02 eV/atom. As for the space-group type: P4/mmm. Its crystal system is tetragonal.

```
5
Lattice="6.746 0.000 0.000 0.000 6.746 0.000 0.000 0.000 5.481" Properties=species:S:1:pos:R:3 pbc="T T T"
Rb 0.000 3.373 0.000
Rb 3.373 0.000 0.000
Na 0.000 0.000 2.740
Cd 3.373 3.373 2.740
Se 0.000 0.000 0.000
```

[5]
Material: Rb2NaCdSi
Method: DFT, GGA-PBE
State: relaxed

## Properties
The density of states at the Fermi level comes out at 0.38 states/eV per atom. As for the total magnetization: 1.00 μB per formula unit. The calculation puts the uncorrected formation energy at 327 meV per atom. For the total energy, the calculation gives -1.59 eV/atom. As for the space-group type: P4/mmm. Its crystal system is tetragonal.

```
5
Lattice="6.827 0.000 0.000 0.000 6.827 0.000 0.000 0.000 5.699" Properties=species:S:1:pos:R:3 pbc="T T T"
Rb 0.000 3.413 0.000
Rb 3.413 0.000 0.000
Na 0.000 0.000 2.849
Cd 3.413 3.413 2.849
Si 0.000 0.000 0.000
```

[6]
Material: RbNa2CdSi
Method: DFT, GGA-PBE
State: relaxed

## Properties
The density of states at the Fermi level comes out at 0.33 states/eV per atom. As for the total magnetization: 0.00 μB per formula unit. The calculation puts the uncorrected formation energy at 90 meV per atom. For the total energy, the calculation gives -1.90 eV/atom. As for the space-group type: P4/mmm. Its crystal system is tetragonal.

```
5
Lattice="5.812 0.000 0.000 0.000 5.812 0.000 0.000 0.000 5.227" Properties=species:S:1:pos:R:3 pbc="T T T"
Rb 0.000 0.000 0.000
Na 0.000 2.906 2.614
Na 2.906 0.000 2.614
Cd 2.906 2.906 0.000
Si 2.906 2.906 2.614
```

[7]
Material: RbNa2CdSn
Method: DFT, GGA-PBE
State: relaxed

## Properties
The value obtained for the energy above the most stable polymorph in this dataset is 58 meV per atom. The density of states at the Fermi level comes out at 0.47 states/eV per atom. The energy relative to the elements comes out at 10.6 meV/atom. As for the total magnetization: 0.00 μB per formula unit. For the total energy, the calculation gives -1.69 eV/atom. As for the space-group type: P4/mmm. Its crystal system is tetragonal.

```
5
Lattice="5.986 0.000 0.000 0.000 5.986 0.000 0.000 0.000 5.522" Properties=species:S:1:pos:R:3 pbc="T T T"
Rb 0.000 0.000 0.000
Na 0.000 2.993 2.761
Na 2.993 0.000 2.761
Cd 2.993 2.993 2.761
Sn 2.993 2.993 0.000
```

[8]
Material: Rb2NaCd3Sn4
Method: DFT, GGA-PBE
State: relaxed

## Properties
The density of states at the Fermi level comes out at 0.65 states/eV per atom. The energy relative to the elements comes out at -99.9 meV/atom. As for the total magnetization: 0.00 μB per formula unit. For the total energy, the calculation gives -2.30 eV/atom. As for the space-group type: P-4m2. Its crystal system is tetragonal.

```
10
Lattice="5.012 0.000 0.000 0.000 5.012 0.000 0.000 0.000 12.700" Properties=species:S:1:pos:R:3 pbc="T T T"
Rb 0.000 2.506 3.153
Rb 2.506 0.000 9.548
Na 0.000 0.000 6.350
Cd 0.000 2.506 10.956
Cd 2.506 0.000 1.745
Cd 2.506 2.506 6.350
Sn 0.000 0.000 0.000
Sn 0.000 2.506 8.076
Sn 2.506 0.000 4.625
Sn 2.506 2.506 0.000
```

[9]
Material: RbNa2CdSn
Method: DFT, GGA-PBE
State: relaxed

## Properties
The value obtained for the energy above the most stable polymorph in this dataset is 0 meV per atom. The density of states at the Fermi level comes out at 0.36 states/eV per atom. The energy relative to the elements comes out at -47.9 meV/atom. As for the total magnetization: 0.00 μB per formula unit. For the total energy, the calculation gives -1.75 eV/atom. As for the space-group type: P4/mmm. Its crystal system is tetragonal.

```
5
Lattice="6.073 0.000 0.000 0.000 6.073 0.000 0.000 0.000 5.645" Properties=species:S:1:pos:R:3 pbc="T T T"
Rb 0.000 0.000 0.000
Na 0.000 3.037 2.822
Na 3.037 0.000 2.822
Cd 3.037 3.037 0.000
Sn 3.037 3.037 2.822
```

[10]
Material: Rb2Na4CdSn2
Method: DFT, GGA-PBE
State: relaxed

## Properties
The density of states at the Fermi level comes out at 0.21 states/eV per atom. The energy relative to the elements comes out at -103.8 meV/atom. As for the total magnetization: 0.00 μB per formula unit. For the total energy, the calculation gives -1.90 eV/atom. As for the space-group type: C2/m. Its crystal system is monoclinic.

```
9
Lattice="7.169 -4.117 0.000 7.169 4.117 0.000 -1.045 0.000 5.676" Properties=species:S:1:pos:R:3 pbc="T T T"
Rb 1.520 0.000 1.225
Rb 11.773 0.000 4.452
Na 4.683 1.640 1.623
Na 8.610 1.640 4.053
Na 4.683 -1.640 1.623
Na 8.610 -1.640 4.053
Cd 7.169 0.000 0.000
Sn 3.671 0.000 4.332
Sn 9.623 0.000 1.344
```

[11]
Material: RbNa2SrCd
Method: DFT, GGA-PBE
State: relaxed

## Properties
The density of states at the Fermi level comes out at 0.61 states/eV per atom. The energy relative to the elements comes out at 44.6 meV/atom. As for the total magnetization: 0.00 μB per formula unit. For the total energy, the calculation gives -1.20 eV/atom. As for the space-group type: P4/mmm. Its crystal system is tetragonal.

```
5
Lattice="6.236 0.000 0.000 0.000 6.236 0.000 0.000 0.000 6.419" Properties=species:S:1:pos:R:3 pbc="T T T"
Rb 0.000 0.000 0.000
Na 0.000 3.118 3.210
Na 3.118 0.000 3.210
Sr 3.118 3.118 0.000
Cd 3.118 3.118 3.210
```

[12]
Material: RbNaSrCd
Method: DFT, GGA-PBE
State: relaxed

## Properties
The density of states at the Fermi level comes out at 0.80 states/eV per atom. The energy relative to the elements comes out at 28.4 meV/atom. As for the total magnetization: 0.00 μB per formula unit. For the total energy, the calculation gives -1.19 eV/atom. As for the space-group type: F-43m. Its crystal system is cubic.

```
16
Lattice="8.894 0.000 0.000 0.000 8.894 0.000 0.000 0.000 8.894" Properties=species:S:1:pos:R:3 pbc="T T T"
Rb 0.000 0.000 0.000
Rb 0.000 4.447 4.447
Rb 4.447 0.000 4.447
Rb 4.447 4.447 0.000
Na 2.223 2.223 2.223
Na 2.223 6.670 6.670
Na 6.670 2.223 6.670
Na 6.670 6.670 2.223
Sr 0.000 0.000 4.447
Sr 0.000 4.447 0.000
Sr 4.447 0.000 0.000
Sr 4.447 4.447 4.447
Cd 2.223 2.223 6.670
Cd 2.223 6.670 2.223
Cd 6.670 2.223 2.223
Cd 6.670 6.670 6.670
```